1.
VASP calculation (PBE) on a relaxed SbRu3O crystal.

Results
Symmetry: Pm-3m (221)
Distance to the lowest polymorph of the same formula (meV/atom): 0.0

Geometry as CIF:
```
data_SbRu3O
_chemical_formula_sum 'Sb1 Ru3 O1'
_space_group_name_H-M_alt 'P 1'
_space_group_IT_number 1
_cell_length_a 4.1504
_cell_length_b 4.1504
_cell_length_c 4.1504
_cell_angle_alpha 90.00
_cell_angle_beta 90.00
_cell_angle_gamma 90.00
loop_
_space_group_symop_operation_xyz
'x,y,z'
loop_
_atom_site_label
_atom_site_type_symbol
_atom_site_fract_x
_atom_site_fract_y
_atom_site_fract_z
_atom_site_occupancy
Sb1 Sb 0.5000 0.5000 0.5000 1
O1 O 0.0000 0.0000 0.0000 1
Ru1 Ru 0.0000 0.5000 0.0000 1
Ru2 Ru 0.0000 0.0000 0.5000 1
Ru3 Ru 0.5000 0.0000 0.0000 1
```

---

2.
VASP calculation (PBE) on a relaxed Ga2Ag2Pb crystal.

Results
Symmetry: P4/mbm (127)
Distance to the lowest polymorph of the same formula (meV/atom): 18.5
Formation enthalpy at 0 K (eV/atom): 0.0703

Geometry as CIF:
```
data_Ga2Ag2Pb
_chemical_formula_sum 'Ga4 Ag4 Pb2'
_space_group_name_H-M_alt 'P 1'
_space_group_IT_number 1
_cell_length_a 8.1518
_cell_length_b 8.1518
_cell_length_c 3.1467
_cell_angle_alpha 90.00
_cell_angle_beta 90.00
_cell_angle_gamma 90.00
loop_
_space_group_symop_operation_xyz
'x,y,z'
loop_
_atom_site_label
_atom_site_type_symbol
_atom_site_fract_x
_atom_site_fract_y
_atom_site_fract_z
_atom_site_occupancy
Pb1 Pb 0.0000 0.0000 0.0000 1
Pb2 Pb 0.5000 0.5000 0.0000 1
Ga1 Ga 0.1687 0.6687 0.5000 1
Ga2 Ga 0.6687 0.8313 0.5000 1
Ga3 Ga 0.8313 0.3313 0.5000 1
Ga4 Ga 0.3313 0.1687 0.5000 1
Ag1 Ag 0.3724 0.8724 0.0000 1
Ag2 Ag 0.8724 0.6276 0.0000 1
Ag3 Ag 0.6276 0.1276 0.0000 1
Ag4 Ag 0.1276 0.3724 0.0000 1
```

---

3.
VASP calculation (PBE) on a relaxed KHg2Os crystal.

Results
Symmetry: C2/m (12)
Distance to the lowest polymorph of the same formula (meV/atom): 127.4
Formation enthalpy at 0 K (eV/atom): 0.7085

Geometry as CIF:
```
data_KHg2Os
_chemical_formula_sum 'K1 Hg2 Os1'
_space_group_name_H-M_alt 'P 1'
_space_group_IT_number 1
_cell_length_a 4.8968
_cell_length_b 4.8968
_cell_length_c 7.1721
_cell_angle_alpha 85.11
_cell_angle_beta 85.11
_cell_angle_gamma 33.89
loop_
_space_group_symop_operation_xyz
'x,y,z'
loop_
_atom_site_label
_atom_site_type_symbol
_atom_site_fract_x
_atom_site_fract_y
_atom_site_fract_z
_atom_site_occupancy
Hg1 Hg 0.9885 0.9885 0.0592 1
Hg2 Hg 0.5115 0.5115 0.4408 1
K1 K 0.7500 0.7500 0.7500 1
Os1 Os 0.2500 0.2500 0.2500 1
```

---

4.
VASP calculation (PBE) on a relaxed PRuSeN crystal.

Results
Symmetry: Cm (8)
Distance to the lowest polymorph of the same formula (meV/atom): 109.4

Geometry as CIF:
```
data_PRuSeN
_chemical_formula_sum 'P2 Ru2 Se2 N2'
_space_group_name_H-M_alt 'P 1'
_space_group_IT_number 1
_cell_length_a 4.2352
_cell_length_b 2.8485
_cell_length_c 10.3775
_cell_angle_alpha 90.00
_cell_angle_beta 105.93
_cell_angle_gamma 90.00
loop_
_space_group_symop_operation_xyz
'x,y,z'
loop_
_atom_site_label
_atom_site_type_symbol
_atom_site_fract_x
_atom_site_fract_y
_atom_site_fract_z
_atom_site_occupancy
P1 P 0.1380 0.0000 0.1825 1
P2 P 0.1380 0.5000 0.6825 1
Ru1 Ru 0.1793 0.0000 0.4015 1
Ru2 Ru 0.1793 0.5000 0.9015 1
Se1 Se 0.6740 0.0000 0.9470 1
Se2 Se 0.6740 0.5000 0.4470 1
N1 N 0.2543 0.0000 0.6164 1
N2 N 0.2543 0.5000 0.1164 1
```

---

5.
VASP calculation (PBE) on a relaxed CaVCu crystal.

Results
Symmetry: P1 (1)
Distance to the lowest polymorph of the same formula (meV/atom): 72.9
Formation enthalpy at 0 K (eV/atom): 0.3237

Geometry as CIF:
```
data_CaVCu
_chemical_formula_sum 'Ca2 V2 Cu2'
_space_group_name_H-M_alt 'P 1'
_space_group_IT_number 1
_cell_length_a 7.6116
_cell_length_b 3.9492
_cell_length_c 4.3849
_cell_angle_alpha 81.28
_cell_angle_beta 80.66
_cell_angle_gamma 89.79
loop_
_space_group_symop_operation_xyz
'x,y,z'
loop_
_atom_site_label
_atom_site_type_symbol
_atom_site_fract_x
_atom_site_fract_y
_atom_site_fract_z
_atom_site_occupancy
Ca1 Ca 0.7057 0.0729 0.3028 1
Ca2 Ca 0.3880 0.5421 0.8892 1
Cu1 Cu 0.0082 0.5046 0.1994 1
Cu2 Cu 0.8339 0.6105 0.7561 1
V1 V 0.1623 0.9426 0.4138 1
V2 V 0.0492 0.1212 0.7709 1
```

---

6.
VASP calculation (PBE) on a relaxed TbPm4Ho6 crystal.

Results
Symmetry: P-6m2 (187)
Distance to the lowest polymorph of the same formula (meV/atom): 0.0
Formation enthalpy at 0 K (eV/atom): 0.1671

Geometry as CIF:
```
data_TbPm4Ho6
_chemical_formula_sum 'Tb1 Pm4 Ho6'
_space_group_name_H-M_alt 'P 1'
_space_group_IT_number 1
_cell_length_a 3.5519
_cell_length_b 10.9991
_cell_length_c 10.9991
_cell_angle_alpha 120.00
_cell_angle_beta 90.00
_cell_angle_gamma 90.00
loop_
_space_group_symop_operation_xyz
'x,y,z'
loop_
_atom_site_label
_atom_site_type_symbol
_atom_site_fract_x
_atom_site_fract_y
_atom_site_fract_z
_atom_site_occupancy
Tb1 Tb 0.0000 0.0000 0.0000 1
Pm1 Pm 0.5000 0.8331 0.6661 1
Pm2 Pm 0.5000 0.3339 0.1669 1
Pm3 Pm 0.5000 0.8331 0.1669 1
Pm4 Pm 0.0000 0.3333 0.6667 1
Ho1 Ho 0.0000 0.5091 0.0182 1
Ho2 Ho 0.5000 0.6410 0.8205 1
Ho3 Ho 0.0000 0.5091 0.4909 1
Ho4 Ho 0.0000 0.9818 0.4909 1
Ho5 Ho 0.5000 0.1795 0.8205 1
Ho6 Ho 0.5000 0.1795 0.3590 1
```

---

7.
VASP calculation (PBE) on a relaxed KSrMo crystal.

Results
Symmetry: P3m1 (156)
Distance to the lowest polymorph of the same formula (meV/atom): 99.6
Formation enthalpy at 0 K (eV/atom): 1.3487

Geometry as CIF:
```
data_KSrMo
_chemical_formula_sum 'K1 Sr1 Mo1'
_space_group_name_H-M_alt 'P 1'
_space_group_IT_number 1
_cell_length_a 3.5189
_cell_length_b 3.5189
_cell_length_c 9.3568
_cell_angle_alpha 90.00
_cell_angle_beta 90.00
_cell_angle_gamma 120.00
loop_
_space_group_symop_operation_xyz
'x,y,z'
loop_
_atom_site_label
_atom_site_type_symbol
_atom_site_fract_x
_atom_site_fract_y
_atom_site_fract_z
_atom_site_occupancy
K1 K 0.0000 0.0000 0.0425 1
Mo1 Mo 0.6667 0.3333 0.3501 1
Sr1 Sr 0.3333 0.6667 0.6074 1
```

---

8.
VASP calculation (PBE) on a relaxed Tb5P4Cl crystal.

Results
Total DFT energy (no corrections) (eV for the cell shown): -63.1
Symmetry: C2/m (12)

Geometry as CIF:
```
data_Tb5P4Cl
_chemical_formula_sum 'Tb5 P4 Cl1'
_space_group_name_H-M_alt 'P 1'
_space_group_IT_number 1
_cell_length_a 4.0221
_cell_length_b 6.9782
_cell_length_c 9.0119
_cell_angle_alpha 75.36
_cell_angle_beta 77.11
_cell_angle_gamma 73.25
loop_
_space_group_symop_operation_xyz
'x,y,z'
loop_
_atom_site_label
_atom_site_type_symbol
_atom_site_fract_x
_atom_site_fract_y
_atom_site_fract_z
_atom_site_occupancy
Tb1 Tb 0.2073 0.9014 0.6839 1
Tb2 Tb 0.7927 0.0986 0.3161 1
Tb3 Tb 0.3903 0.3317 0.8877 1
Tb4 Tb 0.0000 0.5000 0.5000 1
Tb5 Tb 0.6097 0.6683 0.1123 1
P1 P 0.5962 0.2007 0.6069 1
P2 P 0.2061 0.3891 0.1988 1
P3 P 0.7939 0.6109 0.8012 1
P4 P 0.4038 0.7993 0.3931 1
Cl1 Cl 0.0000 0.0000 0.0000 1
```